A plane-wave DFT calculation with PBE+U was carried out for an optimized crystal structure of VHgNF2.

- DOS(E_F): 8.4 states/eV per cell
- Magnetic moment: 4.49 μB/f.u.
- Energy relative to the lowest polymorph listed for this composition: 1.298 eV/atom
- Space-group type: P4/mmm, No. 123

Geometry as POSCAR:
```
VHgNF2
1.0
-0.6661 -1.3266 4.4297
0.7227 -4.4503 -1.2241
3.9603 0.4429 0.7282
N F Hg V
1 2 1 1
direct
0.0000 0.0000 0.5000 N
0.0000 0.5000 0.0000 F
0.5000 0.0000 0.0000 F
0.0000 0.0000 0.0000 Hg
0.5000 0.5000 0.5000 V
```